Entry 1:
Density functional theory data (PBE) for an optimized crystal structure of Tb7Ho2Er2.

Values from the calculation:
Energy ... -4.5005 eV per atom
Energy relative to the elements ... 0.11 eV/atom
Space group ... C2/m (12)
Energy above the most stable polymorph in this dataset ... 0.0000 eV per atom
Fermi-level density of states ... 17.1 states/eV/f.u.

```
Tb7Ho2Er2
1.0
8.515 0.696 1.004
0.201 6.383 0.993
0.201 -1.311 6.325
Er Tb Ho
2 7 2
direct
0.500 0.324 0.676
0.500 0.676 0.324
0.209 0.082 0.450
0.209 0.450 0.082
0.791 0.550 0.918
0.589 0.153 0.153
0.000 0.000 0.000
0.411 0.847 0.847
0.791 0.918 0.550
0.857 0.393 0.393
0.143 0.607 0.607
```



Entry 2:
Density functional theory data (PBE) for an optimized crystal structure of Tb3HoEr6.

Values from the calculation:
Energy ... -4.4355 eV per atom
Energy relative to the elements ... 0.15 eV/atom
Space group ... Cmc2_1 (36)
Energy above the most stable polymorph in this dataset ... 0.0270 eV per atom
Fermi-level density of states ... 14.5 states/eV/f.u.

```
Tb3HoEr6
1.0
6.132 0.000 0.000
0.000 10.742 -1.587
0.000 -3.944 10.117
Er Tb Ho
12 6 2
direct
0.534 0.617 0.712
0.140 0.716 0.284
0.363 0.540 0.961
0.919 0.048 0.952
0.640 0.284 0.716
0.863 0.961 0.540
0.363 0.039 0.460
0.034 0.712 0.617
0.534 0.288 0.383
0.419 0.952 0.048
0.034 0.383 0.288
0.863 0.460 0.039
0.069 0.391 0.609
0.569 0.609 0.391
0.457 0.280 0.062
0.457 0.938 0.720
0.957 0.062 0.280
0.957 0.720 0.938
0.648 0.792 0.208
0.148 0.208 0.792
```



Entry 3:
Density functional theory data (PBE) for an optimized crystal structure of Tb3Ho12Er.

Values from the calculation:
Energy ... -4.5670 eV per atom
Energy relative to the elements ... 0.02 eV/atom
Space group ... P4/mmm (123)
Fermi-level density of states ... 20.6 states/eV/f.u.

```
Tb3Ho12Er
1.0
-0.433 -4.459 -2.178
3.413 -1.855 3.119
-14.400 -4.881 12.855
Er Ho Tb
1 12 3
direct
0.000 0.000 0.000
0.500 0.000 0.876
0.000 0.500 0.876
0.000 0.500 0.625
0.000 0.500 0.375
0.000 0.500 0.124
0.500 0.000 0.375
0.500 0.500 0.249
0.500 0.500 0.500
0.500 0.000 0.625
0.500 0.500 0.751
0.500 0.500 0.000
0.500 0.000 0.124
0.000 0.000 0.750
0.000 0.000 0.250
0.000 0.000 0.500
```



Entry 4:
Density functional theory data (PBE) for an optimized crystal structure of Tb2Ho3Er.

Values from the calculation:
Energy ... -4.5733 eV per atom
Energy relative to the elements ... 0.02 eV/atom
Space group ... C2/c (15)
Energy above the most stable polymorph in this dataset ... 0.0149 eV per atom
Fermi-level density of states ... 8.2 states/eV/f.u.

```
Tb2Ho3Er
1.0
6.092 0.089 -0.213
-0.186 6.558 -2.583
0.348 -0.108 9.326
Ho Tb Er
6 4 2
direct
0.583 0.041 0.332
0.417 0.959 0.668
0.250 0.375 0.000
0.083 0.291 0.332
0.917 0.709 0.668
0.750 0.625 0.000
0.084 0.791 0.333
0.916 0.209 0.667
0.584 0.541 0.333
0.416 0.459 0.667
0.250 0.875 0.000
0.750 0.125 0.000
```



Entry 5:
Density functional theory data (PBE) for an optimized crystal structure of Tb6Ho12Er.

Values from the calculation:
Energy ... -4.1348 eV per atom
Energy relative to the elements ... 0.46 eV/atom
Space group ... R-3m (166)
Energy above the most stable polymorph in this dataset ... 0.3013 eV per atom
Fermi-level density of states ... 31.0 states/eV/f.u.

```
Tb6Ho12Er
1.0
8.959 -1.096 -1.952
-2.176 8.760 -1.952
-0.970 -1.096 9.118
Ho Tb Er
12 6 1
direct
0.905 0.671 0.671
0.095 0.329 0.329
0.329 0.329 0.095
0.329 0.095 0.329
0.500 0.112 0.888
0.112 0.500 0.888
0.500 0.888 0.112
0.888 0.500 0.112
0.671 0.905 0.671
0.888 0.112 0.500
0.671 0.671 0.905
0.112 0.888 0.500
0.708 0.318 0.318
0.682 0.292 0.682
0.318 0.708 0.318
0.292 0.682 0.682
0.318 0.318 0.708
0.682 0.682 0.292
0.000 0.000 0.000
```



Entry 6:
Density functional theory data (PBE) for an optimized crystal structure of Tb6HoEr4.

Values from the calculation:
Energy ... -4.2914 eV per atom
Energy relative to the elements ... 0.31 eV/atom
Space group ... I-42m (121)
Energy above the most stable polymorph in this dataset ... 0.1822 eV per atom
Fermi-level density of states ... 14.5 states/eV/f.u.

```
Tb6HoEr4
1.0
6.512 0.000 0.000
0.000 6.512 0.000
-3.256 -3.256 8.493
Ho Tb Er
1 6 4
direct
0.500 0.500 0.000
0.861 0.487 0.348
0.487 0.861 0.348
0.500 0.000 0.000
0.000 0.500 0.000
0.139 0.139 0.652
0.513 0.513 0.652
0.049 0.690 0.738
0.951 0.951 0.262
0.310 0.310 0.262
0.690 0.049 0.738
```



Entry 7:
Density functional theory data (PBE) for an optimized crystal structure of TbHo4Er5.

Values from the calculation:
Energy ... -4.5158 eV per atom
Energy relative to the elements ... 0.06 eV/atom
Space group ... P-1 (2)
Energy above the most stable polymorph in this dataset ... 0.0000 eV per atom
Fermi-level density of states ... 17.2 states/eV/f.u.

```
TbHo4Er5
1.0
3.340 -0.536 -0.964
-1.247 6.483 -1.074
1.183 1.230 14.092
Ho Tb Er
4 1 5
direct
0.598 0.187 0.785
0.147 0.277 0.194
0.853 0.723 0.806
0.402 0.813 0.215
0.500 0.000 0.000
0.054 0.424 0.614
0.500 0.500 0.000
0.946 0.576 0.386
0.761 0.879 0.584
0.239 0.121 0.416
```



Entry 8:
Density functional theory data (PBE) for an optimized crystal structure of Tb3Ho4Er8.

Values from the calculation:
Energy ... -4.1721 eV per atom
Energy relative to the elements ... 0.41 eV/atom
Space group ... C2/m (12)
Energy above the most stable polymorph in this dataset ... 0.2601 eV per atom
Fermi-level density of states ... 29.3 states/eV/f.u.

```
Tb3Ho4Er8
1.0
6.649 -0.082 -0.118
-3.196 8.526 1.106
-3.196 -1.922 8.380
Tb Er Ho
3 8 4
direct
0.500 0.500 0.500
0.500 0.000 0.500
0.500 0.500 0.000
0.532 0.267 0.267
0.000 0.640 0.360
0.468 0.733 0.733
0.500 0.252 0.748
0.500 0.748 0.252
0.000 0.360 0.640
0.009 0.265 0.265
0.991 0.735 0.735
0.000 0.000 0.500
0.000 0.500 0.000
0.000 0.000 0.000
0.500 0.000 0.000
```



Entry 9:
Density functional theory data (PBE) for an optimized crystal structure of TbHo2Er6.

Values from the calculation:
Energy ... -4.5001 eV per atom
Energy relative to the elements ... 0.07 eV/atom
Space group ... C2/c (15)
Energy above the most stable polymorph in this dataset ... 0.0735 eV per atom
Fermi-level density of states ... 13.9 states/eV/f.u.

```
TbHo2Er6
1.0
-6.033 -2.681 0.685
1.418 -3.733 9.211
-5.212 8.451 -1.478
Er Ho Tb
12 4 2
direct
0.400 0.301 0.347
0.010 0.305 0.620
0.163 0.644 0.039
0.837 0.356 0.961
0.663 0.039 0.644
0.900 0.347 0.301
0.337 0.961 0.356
0.100 0.653 0.699
0.600 0.699 0.653
0.510 0.620 0.305
0.990 0.695 0.380
0.490 0.380 0.695
0.335 0.305 0.016
0.165 0.984 0.695
0.665 0.695 0.984
0.835 0.016 0.305
0.750 0.027 0.973
0.250 0.973 0.027
```



Entry 10:
Density functional theory data (PBE) for an optimized crystal structure of Tb3Ho7Er2.

Values from the calculation:
Energy ... -4.2758 eV per atom
Energy relative to the elements ... 0.31 eV/atom
Space group ... P2/m (10)
Energy above the most stable polymorph in this dataset ... 0.1485 eV per atom
Fermi-level density of states ... 18.3 states/eV/f.u.

```
Tb3Ho7Er2
1.0
-3.728 3.455 2.146
-3.291 -0.363 -5.134
-5.615 -9.202 5.058
Ho Er Tb
7 2 3
direct
0.000 0.000 0.000
0.000 0.558 0.821
0.500 0.233 0.448
0.500 0.091 0.164
0.500 0.909 0.836
0.500 0.767 0.552
0.000 0.442 0.179
0.500 0.624 0.282
0.500 0.376 0.718
0.000 0.955 0.332
0.000 0.045 0.668
0.500 0.500 0.000
```



Entry 11:
Density functional theory data (PBE) for an optimized crystal structure of Tb12Ho5Er2.

Values from the calculation:
Energy ... -4.4837 eV per atom
Energy relative to the elements ... 0.13 eV/atom
Space group ... C2/m (12)
Energy above the most stable polymorph in this dataset ... 0.0380 eV per atom
Fermi-level density of states ... 28.4 states/eV/f.u.

```
Tb12Ho5Er2
1.0
9.150 0.000 0.000
-4.575 7.738 1.144
0.000 -1.442 8.392
Tb Ho Er
12 5 2
direct
0.179 0.746 0.333
0.567 0.746 0.333
0.433 0.254 0.667
0.665 0.694 0.760
0.912 0.825 0.117
0.335 0.306 0.240
0.088 0.175 0.883
0.821 0.254 0.667
0.971 0.306 0.240
0.559 0.118 0.337
0.029 0.694 0.760
0.441 0.882 0.663
0.700 0.400 0.016
0.769 0.537 0.429
0.231 0.463 0.571
0.300 0.600 0.984
0.000 0.000 0.500
0.325 0.000 0.000
0.675 0.000 0.000
```



Entry 12:
Density functional theory data (PBE) for an optimized crystal structure of TbHo3Er7.

Values from the calculation:
Energy ... -4.4174 eV per atom
Energy relative to the elements ... 0.16 eV/atom
Space group ... P2/m (10)
Energy above the most stable polymorph in this dataset ... 0.0000 eV per atom
Fermi-level density of states ... 18.3 states/eV/f.u.

```
TbHo3Er7
1.0
2.315 4.881 -0.772
-2.650 -0.234 -9.439
-7.259 -1.943 4.530
Er Tb Ho
7 1 3
direct
0.321 0.641 0.821
0.148 0.290 0.647
0.500 0.000 0.500
0.920 0.831 0.920
0.852 0.710 0.353
0.080 0.169 0.080
0.679 0.359 0.179
0.500 0.500 0.500
0.278 0.998 0.778
0.722 0.002 0.222
0.000 0.500 0.000
```



Entry 13:
Density functional theory data (PBE) for an optimized crystal structure of Tb6Ho2Er.

Values from the calculation:
Energy ... -4.4991 eV per atom
Energy relative to the elements ... 0.11 eV/atom
Space group ... C2/c (15)
Energy above the most stable polymorph in this dataset ... 0.0956 eV per atom
Fermi-level density of states ... 11.3 states/eV/f.u.

```
Tb6Ho2Er
1.0
-5.995 -1.465 2.177
1.966 -7.995 4.779
-0.345 5.691 7.624
Tb Ho Er
12 4 2
direct
0.817 0.955 0.778
0.775 0.538 0.940
0.683 0.222 0.045
0.225 0.462 0.060
0.183 0.045 0.222
0.504 0.648 0.280
0.996 0.720 0.352
0.004 0.280 0.648
0.496 0.352 0.720
0.275 0.940 0.538
0.725 0.060 0.462
0.317 0.778 0.955
0.367 0.335 0.381
0.133 0.619 0.665
0.633 0.665 0.619
0.867 0.381 0.335
0.250 0.120 0.880
0.750 0.880 0.120
```



Entry 14:
Density functional theory data (PBE) for an optimized crystal structure of Tb2Ho3Er2.

Values from the calculation:
Energy ... -4.4709 eV per atom
Energy relative to the elements ... 0.12 eV/atom
Space group ... C2/m (12)
Energy above the most stable polymorph in this dataset ... 0.0970 eV per atom
Fermi-level density of states ... 10.8 states/eV/f.u.

```
Tb2Ho3Er2
1.0
3.473 0.000 0.000
0.000 8.400 -0.752
-1.737 -3.516 7.876
Ho Er Tb
3 2 2
direct
0.212 0.800 0.423
0.788 0.200 0.577
0.000 0.500 0.000
0.148 0.327 0.296
0.852 0.673 0.704
0.566 0.910 0.132
0.434 0.090 0.868
```



Entry 15:
Density functional theory data (PBE) for an optimized crystal structure of Tb3Ho3Er.

Values from the calculation:
Energy ... -4.4519 eV per atom
Energy relative to the elements ... 0.15 eV/atom
Space group ... R-3 (148)
Energy above the most stable polymorph in this dataset ... 0.1374 eV per atom
Fermi-level density of states ... 9.6 states/eV/f.u.

```
Tb3Ho3Er
1.0
5.840 0.000 1.877
2.618 5.220 1.877
-1.413 -0.872 14.421
Er Tb Ho
2 6 6
direct
0.333 0.333 0.000
0.667 0.667 0.000
0.801 0.132 0.603
0.868 0.537 0.397
0.537 0.199 0.397
0.132 0.463 0.603
0.463 0.801 0.603
0.199 0.868 0.397
0.600 0.934 0.197
0.268 0.600 0.197
0.400 0.066 0.803
0.732 0.400 0.803
0.934 0.268 0.197
0.066 0.732 0.803
```



Entry 16:
Density functional theory data (PBE) for an optimized crystal structure of TbHo4Er4.

Values from the calculation:
Energy ... -4.5555 eV per atom
Energy relative to the elements ... 0.02 eV/atom
Space group ... I4/mmm (139)
Fermi-level density of states ... 12.5 states/eV/f.u.

```
TbHo4Er4
1.0
-2.432 1.498 4.052
-1.234 -6.249 4.602
5.282 1.997 5.464
Ho Tb Er
4 1 4
direct
0.000 0.333 0.667
0.667 0.333 0.333
0.000 0.667 0.333
0.333 0.667 0.667
0.000 0.000 0.000
0.667 0.666 0.000
0.667 0.000 0.666
0.333 0.000 0.334
0.333 0.334 0.000
```



Entry 17:
Density functional theory data (PBE) for an optimized crystal structure of Tb7Ho5Er.

Values from the calculation:
Energy ... -4.3496 eV per atom
Energy relative to the elements ... 0.26 eV/atom
Space group ... Imm2 (44)
Fermi-level density of states ... 23.4 states/eV/f.u.

```
Tb7Ho5Er
1.0
-3.263 -2.687 5.123
5.008 -0.983 6.979
-3.468 5.956 5.220
Tb Ho Er
7 5 1
direct
0.424 0.576 0.576
0.481 0.847 0.190
0.732 0.268 0.268
0.232 0.268 0.268
0.980 0.692 0.348
0.481 0.190 0.847
0.980 0.348 0.692
0.998 0.542 0.998
0.462 0.542 0.998
0.462 0.998 0.542
0.998 0.998 0.542
0.731 0.769 0.769
0.040 0.960 0.960
```



Entry 18:
Density functional theory data (PBE) for an optimized crystal structure of TbHo4Er5.

Values from the calculation:
Energy ... -4.2650 eV per atom
Energy relative to the elements ... 0.31 eV/atom
Space group ... I4 (79)
Energy above the most stable polymorph in this dataset ... 0.2509 eV per atom
Fermi-level density of states ... 13.8 states/eV/f.u.

```
TbHo4Er5
1.0
-2.059 -0.578 5.857
-7.160 -3.011 0.504
1.752 -6.848 3.259
Ho Er Tb
4 5 1
direct
0.105 0.298 0.396
0.403 0.396 0.702
0.500 0.604 0.298
0.799 0.702 0.604
0.095 0.623 0.088
0.806 0.377 0.912
0.183 0.912 0.623
0.681 0.000 0.000
0.718 0.088 0.377
0.222 0.000 0.000
```